Record 1
TbMnSi: optimized geometry, PBE.

Properties
**Symmetry**: P4_12_12, No. 92
**Total energy**: -6.448 eV/atom

Cell lengths 6.5703, 6.5703, 6.0606 Å; angles 90.00, 90.00, 90.00 degrees
With the nearest neighbours (Å) after each atom.
Fractional positions:
Tb  0.2325  0.2325  0.0000  3 Si 2.92-3.01, 4 Mn 3.09-3.16
Tb  0.2675  0.7325  0.2500  3 Si 2.92-3.01, 4 Mn 3.09-3.16
Tb  0.7325  0.2675  0.7500  3 Si 2.92-3.01, 4 Mn 3.09-3.16
Tb  0.7675  0.7675  0.5000  3 Si 2.92-3.01, 4 Mn 3.09-3.16
Mn  0.1724  0.8276  0.7500  3 Si 2.29-2.33
Mn  0.3276  0.3276  0.5000  3 Si 2.29-2.33
Mn  0.6724  0.6724  0.0000  3 Si 2.29-2.33
Mn  0.8276  0.1724  0.2500  3 Si 2.29-2.33
Si  0.0814  0.0814  0.5000  3 Mn 2.29-2.33
Si  0.4186  0.5814  0.7500  3 Mn 2.29-2.33
Si  0.5814  0.4186  0.2500  3 Mn 2.29-2.33
Si  0.9186  0.9186  0.0000  3 Mn 2.29-2.33

---

Record 2
Mn2InBiH: optimized geometry, PBE.

Properties
**Symmetry**: P4/mmm, No. 123
**Total energy**: -4.880 eV/atom

Cell lengths 5.3612, 5.3612, 3.8340 Å; angles 90.00, 90.00, 90.00 degrees
With the nearest neighbours (Å) after each atom.
Fractional positions:
Mn  0.0000  0.5000  0.0000  2 Bi 2.68
Mn  0.5000  0.0000  0.0000  2 Bi 2.68
In  0.0000  0.0000  0.5000  8 Mn 3.30
Bi  0.5000  0.5000  0.0000  2 H 1.92
H  0.5000  0.5000  0.5000  2 Bi 1.92